Computed, not measured: a geometry-optimized ThSi3Tc3 structure at the GGA-PBE level of DFT.

Raw formation energy ... 0.124 eV per atom
V ... 281 Å³/cell
DOS(E_F) ... 1.27 states/eV/atom
Total magnetization ... 2.1 μB per cell
E_tot ... -53.92 eV per formula unit

abc: 6.547 6.547 6.547
angles: 90.00 90.00 90.00
Site moments in Bohr magnetons follow the coordinates.
Sites, in units of the cell vectors:
Tc1 0.500 0.000 0.250  0.34
Si1 0.500 0.250 0.000  -0.01
Th1 0.500 0.500 0.500  -0.04
Tc2 0.000 0.250 0.500  0.34
Tc3 0.750 0.500 0.000  0.34
Tc4 0.000 0.750 0.500  0.34
Tc5 0.500 0.000 0.750  0.34
Tc6 0.250 0.500 0.000  0.34
Si2 0.750 0.000 0.500  -0.01
Si3 0.500 0.750 0.000  -0.01
Si4 0.250 0.000 0.500  -0.01
Si5 0.000 0.500 0.250  -0.01
Si6 0.000 0.500 0.750  -0.01
Th2 0.000 0.000 0.000  -0.04



Computed, not measured: a geometry-optimized LiTl2In structure at the GGA-PBE level of DFT.

V ... 105 Å³/cell
DFT formation energy ... -0.0670 eV per atom
DOS(E_F) ... 0.37 states/eV/atom
Total magnetization ... 0.0 μB per cell
E_tot ... -9.65 eV per formula unit

abc: 5.327 3.359 5.880
angles: 89.71 90.00 90.00
Sites, in units of the cell vectors:
Tl1 0.000 0.877 0.022
In1 0.000 0.377 0.542
Tl2 0.500 0.374 0.230
Li1 0.500 0.872 0.706



Computed, not measured: a geometry-optimized CsCdSiAu2 structure at the GGA-PBE level of DFT.

Raw formation energy ... -0.073 eV per atom
V ... 139 Å³/cell
DOS(E_F) ... 0.15 states/eV/atom
Total magnetization ... 0.0 μB per cell
E_tot ... -14.11 eV per formula unit

abc: 5.147 5.147 5.263
angles: 90.00 90.00 90.00
Sites, in units of the cell vectors:
Au1 0.000 0.500 0.000
Cs1 0.500 0.500 0.500
Si1 0.000 0.000 0.000
Au2 0.500 0.000 0.000
Cd1 0.000 0.000 0.500



Computed, not measured: a geometry-optimized CsNd2CuSe4 structure at the GGA-PBE level of DFT.

Raw formation energy ... -1.505 eV per atom
V ... 474 Å³/cell
Total magnetization ... 0.0 μB per cell
E_tot ... -40.47 eV per formula unit

abc: 4.275 7.803 14.780
angles: 90.00 90.00 105.90
Sites, in units of the cell vectors:
Cs1 0.106 0.212 0.250
Se1 0.422 0.844 0.250
Se2 0.259 0.518 0.611
Cs2 0.894 0.788 0.750
Se3 0.741 0.482 0.111
Nd1 0.634 0.269 0.938
Cu1 0.835 0.671 0.250
Nd2 0.366 0.731 0.062
Se4 0.000 0.000 0.500
Cu2 0.165 0.329 0.750
Nd3 0.366 0.731 0.438
Se5 0.000 0.000 0.000
Se6 0.578 0.156 0.750
Se7 0.741 0.482 0.389
Se8 0.259 0.518 0.889
Nd4 0.634 0.269 0.562



Computed, not measured: a geometry-optimized LiLa2Zn structure at the GGA-PBE level of DFT.

V ... 109 Å³/cell
DFT formation energy ... -0.0541 eV per atom
DOS(E_F) ... 1.20 states/eV/atom
Total magnetization ... 0.0 μB per cell
E_tot ... -13.26 eV per formula unit

abc: 3.690 3.690 7.972
angles: 90.00 90.00 90.00
Sites, in units of the cell vectors:
La1 0.500 0.500 0.283
La2 0.000 0.000 0.952
Zn1 0.500 0.500 0.708
Li1 0.000 0.000 0.557



Computed, not measured: a geometry-optimized NpAl4Pb structure at the GGA-PBE level of DFT.

V ... 124 Å³/cell
DFT formation energy ... 0.1149 eV per atom
DOS(E_F) ... 2.30 states/eV/atom
Total magnetization ... 4.9 μB per cell
E_tot ... -30.93 eV per formula unit

abc: 5.595 5.595 5.595
angles: 60.00 60.00 60.00
Site moments in Bohr magnetons follow the coordinates.
Sites, in units of the cell vectors:
Al1 0.624 0.624 0.624  0.01
Np1 0.250 0.250 0.250  4.08
Al2 0.624 0.624 0.127  0.01
Al3 0.624 0.127 0.624  0.01
Al4 0.127 0.624 0.624  0.01
Pb1 0.000 0.000 0.000  0.01



Computed, not measured: a geometry-optimized ZrMo structure at the GGA-PBE level of DFT.

V ... 77 Å³/cell
DFT formation energy ... 0.2720 eV per atom
DOS(E_F) ... 1.16 states/eV/atom
Total magnetization ... 0.0 μB per cell
E_tot ... -18.84 eV per formula unit

abc: 3.114 4.514 5.447
angles: 90.00 90.00 90.00
Sites, in units of the cell vectors:
Mo1 0.000 0.000 0.988
Zr1 0.500 0.500 0.237
Mo2 0.500 0.500 0.762
Zr2 0.000 0.000 0.513



Computed, not measured: a geometry-optimized BePt3S structure at the GGA-PBE level of DFT.

Raw formation energy ... 0.447 eV per atom
V ... 78 Å³/cell
DOS(E_F) ... 1.24 states/eV/atom
Total magnetization ... 0.0 μB per cell
E_tot ... -23.74 eV per formula unit

abc: 4.275 4.275 4.275
angles: 90.00 90.00 90.00
Sites, in units of the cell vectors:
S1 0.500 0.500 0.500
Pt1 0.000 0.500 0.000
Pt2 0.500 0.000 0.000
Be1 0.000 0.000 0.000
Pt3 0.000 0.000 0.500



Computed, not measured: a geometry-optimized ZrTlCl2 structure at the GGA-PBE level of DFT.

Raw formation energy ... -0.509 eV per atom
V ... 198 Å³/cell
DOS(E_F) ... 0.79 states/eV/atom
Total magnetization ... 1.4 μB per cell
E_tot ... -16.64 eV per formula unit

abc: 4.640 4.640 9.761
angles: 76.25 76.25 90.00
Site moments in Bohr magnetons follow the coordinates.
Sites, in units of the cell vectors:
Cl1 0.572 0.125 0.250  0.01
Tl1 0.000 0.000 0.000  0.04
Cl2 0.178 0.625 0.250  0.01
Zr1 0.500 0.500 0.000  0.34
Zr2 0.250 0.750 0.500  0.36
Tl2 0.750 0.250 0.500  0.04
Cl3 0.875 0.822 0.750  0.01
Cl4 0.375 0.428 0.750  0.01



Computed, not measured: a geometry-optimized NiPt2Rh5 structure at the GGA-PBE level of DFT.

V ... 237 Å³/cell
DFT formation energy ... 0.0779 eV per atom
DOS(E_F) ... 1.59 states/eV/atom
Total magnetization ... 1.1 μB per cell
E_tot ... -54.00 eV per formula unit

abc: 6.001 4.672 14.990
angles: 117.21 47.52 130.11
Site moments in Bohr magnetons follow the coordinates.
Sites, in units of the cell vectors:
Rh1 0.250 0.473 0.789  0.04
Rh2 0.458 0.938 0.093  0.04
Pt1 0.816 0.645 0.031  0.02
Ni1 0.599 0.176 0.731  0.29
Ni2 0.401 0.824 0.269  0.29
Rh3 0.542 0.062 0.907  0.04
Rh4 0.944 0.881 0.672  0.05
Rh5 0.107 0.235 0.153  0.06
Rh6 0.750 0.527 0.211  0.04
Rh7 0.893 0.765 0.847  0.06
Rh8 0.342 0.700 0.441  0.02
Rh9 0.658 0.300 0.559  0.02
Rh10 0.056 0.119 0.328  0.05
Pt2 0.302 0.590 0.614  0.04
Pt3 0.698 0.410 0.386  0.04
Pt4 0.184 0.355 0.969  0.02



Computed, not measured: a geometry-optimized MnAl2I2Br6 structure at the GGA-PBE level of DFT.

Raw formation energy ... -0.876 eV per atom
V ... 481 Å³/cell
DOS(E_F) ... 0.00 states/eV/atom
Total magnetization ... 4.9 μB per cell
E_tot ... -39.42 eV per formula unit

abc: 6.697 6.697 12.391
angles: 90.00 90.00 120.00
Site moments in Bohr magnetons follow the coordinates.
Sites, in units of the cell vectors:
I1 0.667 0.333 0.397  -0.02
Br1 0.330 0.006 0.129  0.03
Al1 0.667 0.333 0.197  0.01
Br2 0.676 0.670 0.129  0.03
Br3 0.670 0.994 0.871  0.03
Mn1 0.000 0.000 0.000  4.40
Br4 0.324 0.330 0.871  0.03
Br5 0.006 0.676 0.871  0.03
Br6 0.994 0.324 0.129  0.03
I2 0.333 0.667 0.603  -0.02
Al2 0.333 0.667 0.803  0.01



Computed, not measured: a geometry-optimized Be2TlCd structure at the GGA-PBE level of DFT.

V ... 152 Å³/cell
DFT formation energy ... 0.8396 eV per atom
DOS(E_F) ... 0.44 states/eV/atom
Total magnetization ... 0.0 μB per cell
E_tot ... -7.38 eV per formula unit

abc: 6.924 6.924 5.836
angles: 53.61 53.61 90.00
Sites, in units of the cell vectors:
Tl1 0.750 0.250 0.500
Cd1 0.500 0.500 0.000
Cd2 0.250 0.750 0.500
Be1 0.618 0.125 0.250
Be2 0.875 0.868 0.750
Tl2 0.000 0.000 0.000
Be3 0.132 0.625 0.250
Be4 0.375 0.382 0.750



Computed, not measured: a geometry-optimized Tc4SbP structure at the GGA-PBE level of DFT.

Raw formation energy ... 0.609 eV per atom
V ... 99 Å³/cell
DOS(E_F) ... 1.04 states/eV/atom
Total magnetization ... 0.0 μB per cell
E_tot ... -47.34 eV per formula unit

abc: 5.194 5.194 5.194
angles: 60.00 60.00 60.00
Sites, in units of the cell vectors:
P1 0.750 0.750 0.750
Tc1 0.376 0.873 0.376
Tc2 0.376 0.376 0.873
Tc3 0.376 0.376 0.376
Tc4 0.873 0.376 0.376
Sb1 0.000 0.000 0.000



Computed, not measured: a geometry-optimized Sr3Bi2Pd3 structure at the GGA-PBE level of DFT.

V ... 449 Å³/cell
DFT formation energy ... -0.6232 eV per atom
DOS(E_F) ... 0.73 states/eV/atom
Total magnetization ... 0.0 μB per cell
E_tot ... -33.37 eV per formula unit

abc: 4.798 6.288 16.105
angles: 90.00 90.00 112.43
Sites, in units of the cell vectors:
Sr1 0.918 0.836 0.104
Pd1 0.325 0.650 0.250
Bi1 0.214 0.427 0.096
Pd2 0.388 0.775 0.540
Pd3 0.612 0.225 0.460
Bi2 0.786 0.573 0.904
Bi3 0.214 0.427 0.404
Sr2 0.374 0.748 0.750
Pd4 0.388 0.775 0.960
Sr3 0.082 0.164 0.604
Sr4 0.918 0.836 0.396
Sr5 0.626 0.252 0.250
Bi4 0.786 0.573 0.596
Pd5 0.612 0.225 0.040
Pd6 0.675 0.350 0.750
Sr6 0.082 0.164 0.896



Computed, not measured: a geometry-optimized Ba4In2Cu structure at the GGA-PBE level of DFT.

V ... 326 Å³/cell
DFT formation energy ... -0.1023 eV per atom
DOS(E_F) ... 1.06 states/eV/atom
Total magnetization ... 0.0 μB per cell
E_tot ... -17.98 eV per formula unit

abc: 6.171 6.171 9.607
angles: 108.73 108.73 90.00
Sites, in units of the cell vectors:
Ba1 0.000 0.500 0.000
Ba2 0.500 0.000 0.000
In1 0.394 0.394 0.789
Ba3 0.192 0.192 0.384
In2 0.606 0.606 0.211
Cu1 0.000 0.000 0.000
Ba4 0.808 0.808 0.616



Computed, not measured: a geometry-optimized Tb4InOs structure at the GGA-PBE level of DFT.

V ... 340 Å³/cell
DFT formation energy ... -0.3284 eV per atom
DOS(E_F) ... 1.00 states/eV/atom
Total magnetization ... 0.0 μB per cell
E_tot ... -34.46 eV per formula unit

abc: 6.143 9.020 7.948
angles: 114.98 99.98 112.07
Sites, in units of the cell vectors:
Tb1 0.772 0.722 0.663
In1 0.375 0.625 0.249
Tb2 0.609 0.059 0.337
Os1 0.250 0.000 0.999
Tb3 0.913 0.797 0.149
Os2 0.750 0.000 0.001
Tb4 0.228 0.278 0.337
Tb5 0.391 0.941 0.663
In2 0.625 0.375 0.751
Tb6 0.087 0.203 0.851
Tb7 0.736 0.352 0.149
Tb8 0.264 0.648 0.851